1.
DFT (GGA-PBE) results for a relaxed CdGeOs3 crystal.

For the density of states at the Fermi level, the calculation gives 4.4 states/eV/cell. The calculation puts the energy of formation from the pure elements at 1585 meV/atom. The magnetic moment is 1.80 μB/f.u. The energy comes out at -6.259 eV per atom. Its distance to the lowest polymorph of the same formula is 0.0 kJ/mol of atoms.

The space group is Pm-3m (No. 221) and the conventional cell measures 4.560, 4.560 and 4.560 Å, with angles of 90.00, 90.00 and 90.00 degrees. Symmetry generates all atoms from Cd at (0.000, 0.000, 0.000), Ge at (0.500, 0.500, 0.500) and Os at (0.000, 0.500, 0.500).

2.
DFT (GGA-PBE) results for a relaxed YLuAg4 crystal.

For the density of states at the Fermi level, the calculation gives 27.0 states/eV/cell. The calculation puts the energy of formation from the pure elements at -175 meV/atom. The magnetic moment is 0.00 μB/f.u. The energy comes out at -3.907 eV per atom.

The space group is F-43m (No. 216) and the conventional cell measures 8.032, 8.032 and 8.032 Å, with angles of 90.00, 90.00 and 90.00 degrees. Symmetry generates all atoms from Y at (0.000, 0.000, 0.000), Lu at (0.250, 0.250, 0.750) and Ag at (0.125, 0.125, 0.375).

3.
DFT (GGA-PBE) results for a relaxed Zn4TeCl crystal.

For the density of states at the Fermi level, the calculation gives 11.1 states/eV/cell. The magnetic moment is 0.00 μB/f.u. The energy comes out at -1.615 eV per atom.

The space group is F-43m (No. 216) and the conventional cell measures 7.781, 7.781 and 7.781 Å, with angles of 90.00, 90.00 and 90.00 degrees. Symmetry generates all atoms from Zn at (0.125, 0.125, 0.125), Te at (0.000, 0.000, 0.500) and Cl at (0.250, 0.250, 0.750).

4.
DFT (GGA-PBE) results for a relaxed Pr2LuTh crystal.

For the density of states at the Fermi level, the calculation gives 6.4 states/eV/cell. The calculation puts the energy of formation from the pure elements at 65 meV/atom. The magnetic moment is 0.00 μB/f.u. The energy comes out at -5.310 eV per atom. Its distance to the lowest polymorph of the same formula is 0.9 kJ/mol of atoms.

The space group is P4/mmm (No. 123) and the conventional cell measures 3.619, 3.619 and 10.251 Å, with angles of 90.00, 90.00 and 90.00 degrees. Symmetry generates all atoms from Pr at (0.000, 0.000, 0.247), Lu at (0.500, 0.500, 0.500) and Th at (0.500, 0.500, 0.000).

5.
DFT (GGA-PBE) results for a relaxed PrScAu crystal.

For the density of states at the Fermi level, the calculation gives 8.3 states/eV/cell. The calculation puts the energy of formation from the pure elements at -490 meV/atom. The magnetic moment is 0.00 μB/f.u. The energy comes out at -5.286 eV per atom. Its distance to the lowest polymorph of the same formula is 10.9 kJ/mol of atoms.

The space group is I4mm (No. 107) and the conventional cell measures 3.525, 3.525 and 12.417 Å, with angles of 90.00, 90.00 and 90.00 degrees. Symmetry generates all atoms from Pr at (0.000, 0.000, 0.000), Sc at (0.000, 0.000, 0.289) and Au at (0.000, 0.000, 0.682).

6.
DFT (GGA-PBE) results for a relaxed MgCu2Se2 crystal.

For the density of states at the Fermi level, the calculation gives 1.1 states/eV/cell. The magnetic moment is 0.00 μB/f.u. The energy comes out at -3.836 eV per atom. Its distance to the lowest polymorph of the same formula is 2.3 kJ/mol of atoms.

The space group is P2_1 (No. 4) and the conventional cell measures 4.223, 4.208 and 12.537 Å, with angles of 90.00, 96.47 and 90.00 degrees. Symmetry generates all atoms from Mg at (0.173, 0.000, 0.265), Cu at (0.355, 0.852, 0.533), Cu at (0.451, 0.009, 0.945), Se at (0.129, 0.503, 0.386) and Se at (0.372, 0.509, 0.855).

7.
DFT (GGA-PBE) results for a relaxed CaMgPbCl6 crystal.

For the density of states at the Fermi level, the calculation gives 0.0 states/eV/cell. The magnetic moment is 0.00 μB/f.u. The energy comes out at -3.832 eV per atom.

The space group is P-31c (No. 163) and the conventional cell measures 6.8241, 6.8241 and 12.4293 Å, with angles of 90.00, 90.00 and 120.00 degrees. Symmetry generates all atoms from Ca at (0.3333, 0.6667, 0.2500), Mg at (0.3333, 0.6667, 0.7500), Pb at (0.0000, 0.0000, 0.0000) and Cl at (0.0234, 0.3671, 0.6331).

8.
DFT (GGA-PBE) results for a relaxed ReMoPS2 crystal.

For the density of states at the Fermi level, the calculation gives 2.8 states/eV/cell. The magnetic moment is 4.54 μB/f.u. The energy comes out at -6.215 eV per atom. Its distance to the lowest polymorph of the same formula is 15.9 kJ/mol of atoms.

The space group is P4/mmm (No. 123) and the conventional cell measures 4.554, 4.554 and 4.990 Å, with angles of 90.00, 90.00 and 90.00 degrees. Symmetry generates all atoms from Re at (0.000, 0.000, 0.000), Mo at (0.500, 0.500, 0.500), P at (0.500, 0.500, 0.000) and S at (0.000, 0.500, 0.500).

9.
DFT (GGA-PBE) results for a relaxed Ac2La2In crystal.

For the density of states at the Fermi level, the calculation gives 10.0 states/eV/cell. The calculation puts the energy of formation from the pure elements at -93 meV/atom. The magnetic moment is 0.00 μB/f.u. The energy comes out at -4.255 eV per atom. Its distance to the lowest polymorph of the same formula is 7.5 kJ/mol of atoms.

The space group is C2/m (No. 12) and the conventional cell measures 10.155, 6.003 and 6.893 Å, with angles of 90.00, 117.33 and 90.00 degrees. Symmetry generates all atoms from Ac at (0.188, 0.000, 0.067), La at (0.105, 0.500, 0.320) and In at (0.000, 0.000, 0.500).

10.
DFT (GGA-PBE) results for a relaxed LiThTe3 crystal.

For the density of states at the Fermi level, the calculation gives 5.5 states/eV/cell. The magnetic moment is 0.00 μB/f.u. The energy comes out at -4.566 eV per atom.

The space group is Pnma (No. 62) and the conventional cell measures 10.213, 11.521 and 6.681 Å, with angles of 90.00, 90.00 and 90.00 degrees. Symmetry generates all atoms from Li at (0.234, 0.250, 0.069), Th at (0.000, 0.000, 0.500), Te at (0.007, 0.250, 0.329) and Te at (0.235, 0.039, 0.792).

11.
DFT (GGA-PBE) results for a relaxed BaYMg3 crystal.

For the density of states at the Fermi level, the calculation gives 4.2 states/eV/cell. The calculation puts the energy of formation from the pure elements at 1007 meV/atom. The magnetic moment is 0.00 μB/f.u. The energy comes out at -1.627 eV per atom. Its distance to the lowest polymorph of the same formula is 48.8 kJ/mol of atoms.

The space group is Pm-3m (No. 221) and the conventional cell measures 5.762, 5.762 and 5.762 Å, with angles of 90.00, 90.00 and 90.00 degrees. Symmetry generates all atoms from Ba at (0.000, 0.000, 0.000), Y at (0.500, 0.500, 0.500) and Mg at (0.000, 0.000, 0.500).

12.
DFT (GGA-PBE) results for a relaxed La2ZrAu crystal.

For the density of states at the Fermi level, the calculation gives 11.7 states/eV/cell. The calculation puts the energy of formation from the pure elements at -97 meV/atom. The magnetic moment is 0.01 μB/f.u. The energy comes out at -5.517 eV per atom. Its distance to the lowest polymorph of the same formula is 15.8 kJ/mol of atoms.

The space group is I4/mmm (No. 139) and the conventional cell measures 4.715, 4.715 and 9.585 Å, with angles of 90.00, 90.00 and 90.00 degrees. Symmetry generates all atoms from La at (0.000, 0.500, 0.250), Zr at (0.000, 0.000, 0.000) and Au at (0.000, 0.000, 0.500).

13.
DFT (GGA-PBE) results for a relaxed TlInAgPb crystal.

For the density of states at the Fermi level, the calculation gives 1.9 states/eV/cell. The calculation puts the energy of formation from the pure elements at 27 meV/atom. The magnetic moment is 0.00 μB/f.u. The energy comes out at -2.889 eV per atom. Its distance to the lowest polymorph of the same formula is 0.0 kJ/mol of atoms.

The space group is P4mm (No. 99) and the conventional cell measures 3.464, 3.464 and 8.839 Å, with angles of 90.00, 90.00 and 90.00 degrees. Symmetry generates all atoms from Tl at (0.000, 0.000, 0.000), In at (0.500, 0.500, 0.729), Ag at (0.000, 0.000, 0.534) and Pb at (0.500, 0.500, 0.310).

14.
DFT (GGA-PBE) results for a relaxed LiCa2YTe4 crystal.

The magnetic moment is 0.00 μB/f.u. The energy comes out at -4.568 eV per atom.

The space group is P2/m (No. 10) and the conventional cell measures 7.649, 4.449 and 7.649 Å, with angles of 90.00, 108.83 and 90.00 degrees. Symmetry generates all atoms from Li at (0.000, 0.000, 0.000), Ca at (0.000, 0.500, 0.500), Ca at (0.500, 0.000, 0.500), Y at (0.500, 0.500, 0.000), Te at (0.247, 0.500, 0.240) and Te at (0.250, 0.000, 0.762).

15.
DFT (GGA-PBE) results for a relaxed CaCeY2Te4 crystal.

For the density of states at the Fermi level, the calculation gives 19.2 states/eV/cell. The magnetic moment is 1.26 μB/f.u. The energy comes out at -5.573 eV per atom.

The space group is I-4m2 (No. 119) and the conventional cell measures 6.262, 6.262 and 12.528 Å, with angles of 90.00, 90.00 and 90.00 degrees. Symmetry generates all atoms from Ca at (0.000, 0.000, 0.000), Ce at (0.000, 0.500, 0.750), Y at (0.000, 0.000, 0.500), Y at (0.000, 0.500, 0.250), Te at (0.000, 0.000, 0.250) and Te at (0.000, 0.500, 0.004).

16.
DFT (GGA-PBE) results for a relaxed NaTe2Pt crystal.

For the density of states at the Fermi level, the calculation gives 21.0 states/eV/cell. The magnetic moment is 0.00 μB/f.u. The energy comes out at -3.403 eV per atom. Its distance to the lowest polymorph of the same formula is 45.6 kJ/mol of atoms.

The space group is Fm-3m (No. 225) and the conventional cell measures 7.164, 7.164 and 7.164 Å, with angles of 90.00, 90.00 and 90.00 degrees. Symmetry generates all atoms from Na at (0.000, 0.000, 0.000), Te at (0.250, 0.250, 0.250) and Pt at (0.000, 0.000, 0.500).

17.
DFT (GGA-PBE) results for a relaxed Nd3TmCd2 crystal.

For the density of states at the Fermi level, the calculation gives 8.1 states/eV/cell. The calculation puts the energy of formation from the pure elements at -186 meV/atom. The magnetic moment is 0.28 μB/f.u. The energy comes out at -3.620 eV per atom.

The space group is P4/mmm (No. 123) and the conventional cell measures 3.778, 3.778 and 12.681 Å, with angles of 90.00, 90.00 and 90.00 degrees. Symmetry generates all atoms from Nd at (0.000, 0.000, 0.000), Nd at (0.000, 0.000, 0.313), Tm at (0.500, 0.500, 0.500) and Cd at (0.500, 0.500, 0.158).

18.
DFT (GGA-PBE) results for a relaxed Mn7Si crystal.

For the density of states at the Fermi level, the calculation gives 35.0 states/eV/cell. The magnetic moment is 7.60 μB/f.u. The energy comes out at -8.760 eV per atom.

The space group is Fm-3m (No. 225) and the conventional cell measures 7.151, 7.151 and 7.151 Å, with angles of 90.00, 90.00 and 90.00 degrees. Symmetry generates all atoms from Mn at (0.000, 0.000, 0.000), Mn at (0.000, 0.250, 0.250) and Si at (0.000, 0.000, 0.500).

19.
DFT (GGA-PBE) results for a relaxed BaAs2Ru crystal.

For the density of states at the Fermi level, the calculation gives 7.1 states/eV/cell. The calculation puts the energy of formation from the pure elements at -328 meV/atom. The magnetic moment is 0.00 μB/f.u. The energy comes out at -5.452 eV per atom.

The space group is Immm (No. 71) and the conventional cell measures 4.214, 6.443 and 7.646 Å, with angles of 90.00, 90.00 and 90.00 degrees. Symmetry generates all atoms from Ba at (0.000, 0.000, 0.000), As at (0.000, 0.500, 0.166) and Ru at (0.000, 0.000, 0.500).

20.
DFT (GGA-PBE) results for a relaxed NaVS2 crystal.

For the density of states at the Fermi level, the calculation gives 5.0 states/eV/cell. The magnetic moment is 2.00 μB/f.u. The energy comes out at -5.682 eV per atom.

The space group is P-3m1 (No. 164) and the conventional cell measures 3.5598, 3.5598 and 6.6652 Å, with angles of 90.00, 90.00 and 120.00 degrees. Symmetry generates all atoms from Na at (0.0000, 0.0000, 0.0000), V at (0.0000, 0.0000, 0.5000) and S at (0.3333, 0.6667, 0.7027).